Entry 1:
Material: InAg2Au4
Method: DFT, GGA-PBE
State: relaxed

Cell: 9.5914 5.5060 6.0549 Å, 117.04 90.00 90.00°
Sites, in units of the cell vectors:
Ag: 0.0000 0.6745 0.3490
Ag: 0.5000 0.8255 0.6510
Ag: 0.0000 0.3255 0.6510
Ag: 0.5000 0.1745 0.3490
Au: 0.2500 0.4999 0.5000
Au: 0.2842 0.8433 0.0000
Au: 0.2500 0.9999 0.5000
Au: 0.7500 0.0001 0.5000
Au: 0.7500 0.5001 0.5000
Au: 0.7158 0.1567 0.0000
Au: 0.2158 0.3433 0.0000
Au: 0.7842 0.6567 0.0000
In: 0.0000 0.0000 0.0000
In: 0.5000 0.5000 0.0000

Properties
- polymorph energy (0 for the lowest one) (meV per atom) = 37
- ΔE_f (meV per atom) = 11.4
- space group = Cmce, No. 64

---

Entry 2:
Material: BaLiScP2
Method: DFT, GGA-PBE
State: relaxed

Cell: 4.2350 4.2350 7.2766 Å, 106.92 106.92 90.00°
Sites, in units of the cell vectors:
Ba: 0.0000 0.0000 0.0000
Li: 0.2500 0.7500 0.5000
P: 0.3586 0.3586 0.7171
P: 0.6414 0.6414 0.2828
Sc: 0.7500 0.2500 0.5000

Properties
- ΔE_f (meV per atom) = -1104.4
- space group = I-4m2, No. 119